No. 1
Material: AcZnBPd6
Method: DFT, PBE
State: relaxed

abc: 6.714 8.670 11.336
angles: 90.00 90.00 90.00
Space group Imma (No. 74)
One atom of each set of equivalent atoms:
Ac (0.000, 0.250, 0.172) (multiplicity 4)
Zn (0.250, 0.250, 0.750) (multiplicity 4)
B (0.000, 0.000, 0.500) (multiplicity 4)
Pd (0.000, 0.250, 0.460) (multiplicity 4)
Pd (0.000, 0.250, 0.915) (multiplicity 4)
Pd (0.225, 0.013, 0.623) (multiplicity 16)

Density, g/cm3: 9.5
Formation enthalpy at 0 K, eV/atom: -0.34
DOS(E_F), states/eV per atom: 0.35
Crystal system: orthorhombic
Energy, eV for the cell shown: -185.1

No. 2
Material: KNiPdBr6
Method: DFT, PBE
State: relaxed

abc: 6.813 11.396 7.425
angles: 90.00 91.38 90.00
Space group C2 (No. 5)
One atom of each set of equivalent atoms:
K (0.000, 0.000, 0.000) (multiplicity 2)
Ni (0.000, 0.332, 0.500) (multiplicity 2)
Pd (0.000, 0.667, 0.500) (multiplicity 2)
Br (0.128, 0.502, 0.694) (multiplicity 4)
Br (0.174, 0.192, 0.708) (multiplicity 4)
Br (0.187, 0.818, 0.686) (multiplicity 4)

Density, g/cm3: 3.9
Formation energy without anion corrections, kJ per mole of atoms: -55
DOS(E_F), states/eV per atom: 0.18
Crystal system: monoclinic
Energy, eV for the cell shown: -54.5

No. 3
Material: PmSm4Er2Tm
Method: DFT, PBE
State: relaxed

abc: 13.658 13.265 6.831
angles: 90.00 120.00 90.00
Space group C2/c (No. 15)
One atom of each set of equivalent atoms:
Pm (0.250, 0.250, 0.000) (multiplicity 4)
Sm (0.000, 0.249, 0.001) (multiplicity 8)
Sm (0.249, 0.002, 0.493) (multiplicity 8)
Er (0.000, 0.500, 0.000) (multiplicity 4)
Er (0.250, 0.250, 0.500) (multiplicity 4)
Tm (0.000, 0.000, 0.000) (multiplicity 4)

Density, g/cm3: 7.7
Formation enthalpy at 0 K, eV/atom: 0.42
DOS(E_F), states/eV per atom: 2.35
Crystal system: monoclinic
Energy, eV for the cell shown: -135.6

No. 4
Material: HfMn2V2
Method: DFT, PBE
State: relaxed

abc: 7.072 7.072 2.857
angles: 90.00 90.00 90.00
Space group P4/mbm (No. 127)
One atom of each set of equivalent atoms:
Hf (0.000, 0.000, 0.000) (multiplicity 2)
Mn (0.138, 0.362, 0.000) (multiplicity 4)
V (0.146, 0.646, 0.500) (multiplicity 4)

Density, g/cm3: 9.1
Excess energy over the best structure of this formula in the dataset, eV/atom: 0.0889
Formation enthalpy at 0 K, eV/atom: 0.12
DOS(E_F), states/eV per atom: 1.48
Crystal system: tetragonal
Energy, eV for the cell shown: -91.9

No. 5
Material: Na3SmTh2Se6
Method: DFT, PBE
State: relaxed

abc: 7.243 12.544 7.555
angles: 90.00 108.63 90.00
Space group C2/m (No. 12)
One atom of each set of equivalent atoms:
Na (0.000, 0.000, 0.000) (multiplicity 2)
Na (0.000, 0.334, 0.000) (multiplicity 4)
Sm (0.000, 0.500, 0.500) (multiplicity 2)
Th (0.000, 0.167, 0.500) (multiplicity 4)
Se (0.246, 0.000, 0.741) (multiplicity 4)
Se (0.248, 0.333, 0.741) (multiplicity 8)

Density, g/cm3: 5.9
Formation energy without anion corrections, kJ per mole of atoms: -149
DOS(E_F), states/eV per atom: 0.54
Crystal system: monoclinic
Energy, eV for the cell shown: -126.0

No. 6
Material: Cr2AsPb
Method: DFT, PBE
State: relaxed

abc: 3.150 3.454 13.562
angles: 90.00 90.00 90.00
Space group Imm2 (No. 44)
One atom of each set of equivalent atoms:
Cr (0.000, 0.000, 0.000) (multiplicity 2)
Cr (0.000, 0.500, 0.314) (multiplicity 2)
As (0.000, 0.000, 0.440) (multiplicity 2)
Pb (0.000, 0.500, 0.679) (multiplicity 2)

Density, g/cm3: 8.7
Excess energy over the best structure of this formula in the dataset, eV/atom: 0.1070
Formation enthalpy at 0 K, eV/atom: 0.33
DOS(E_F), states/eV per atom: 0.90
Crystal system: orthorhombic
Energy, eV for the cell shown: -52.6

No. 7
Material: Pa2RuPt
Method: DFT, PBE
State: relaxed

abc: 4.367 4.367 4.188
angles: 90.00 90.00 90.00
Space group P4/mmm (No. 123)
One atom of each set of equivalent atoms:
Pa (0.000, 0.500, 0.000) (multiplicity 2)
Ru (0.000, 0.000, 0.500) (multiplicity 1)
Pt (0.500, 0.500, 0.500) (multiplicity 1)

Density, g/cm3: 15.8
Formation enthalpy at 0 K, eV/atom: -0.51
DOS(E_F), states/eV per atom: 1.22
Crystal system: tetragonal
Energy, eV for the cell shown: -36.3

No. 8
Material: BePOs
Method: DFT, PBE
State: relaxed

abc: 2.896 4.746 11.119
angles: 90.00 90.00 90.00
Space group Fmm2 (No. 42)
One atom of each set of equivalent atoms:
Be (0.000, 0.000, 0.000) (multiplicity 4)
P (0.000, 0.000, 0.339) (multiplicity 4)
Os (0.000, 0.000, 0.670) (multiplicity 4)

Density, g/cm3: 10.0
Excess energy over the best structure of this formula in the dataset, eV/atom: 0.5734
Formation enthalpy at 0 K, eV/atom: 0.41
DOS(E_F), states/eV per atom: 0.55
Crystal system: orthorhombic
Energy, eV for the cell shown: -76.6

No. 9
Material: AcTb4Ho
Method: DFT, PBE
State: relaxed

abc: 10.735 13.403 6.704
angles: 90.00 122.53 90.00
Space group C2/c (No. 15)
One atom of each set of equivalent atoms:
Ac (0.000, 0.074, 0.250) (multiplicity 4)
Tb (0.161, 0.422, 0.747) (multiplicity 8)
Tb (0.166, 0.316, 0.247) (multiplicity 8)
Ho (0.000, 0.192, 0.750) (multiplicity 4)

Density, g/cm3: 8.4
Excess energy over the best structure of this formula in the dataset, eV/atom: 0.0143
Formation enthalpy at 0 K, eV/atom: 0.06
DOS(E_F), states/eV per atom: 1.58
Crystal system: monoclinic
Energy, eV for the cell shown: -107.5

No. 10
Material: Tm2Ga3Ag2
Method: DFT, PBE
State: relaxed

abc: 4.159 18.767 7.309
angles: 90.00 90.00 90.00
Space group Cmcm (No. 63)
One atom of each set of equivalent atoms:
Tm (0.000, 0.055, 0.250) (multiplicity 4)
Tm (0.000, 0.154, 0.750) (multiplicity 4)
Ga (0.000, 0.228, 0.250) (multiplicity 4)
Ga (0.000, 0.443, 0.078) (multiplicity 8)
Ag (0.000, 0.314, 0.554) (multiplicity 8)

Density, g/cm3: 8.9
Excess energy over the best structure of this formula in the dataset, eV/atom: 0.0000
Formation enthalpy at 0 K, eV/atom: -0.43
DOS(E_F), states/eV per atom: 0.55
Crystal system: orthorhombic
Energy, eV for the cell shown: -107.0

No. 11
Material: Nd4Ho5Pu
Method: DFT, PBE
State: relaxed

abc: 5.707 10.215 11.523
angles: 90.00 90.00 90.00
Space group Immm (No. 71)
One atom of each set of equivalent atoms:
Nd (0.000, 0.000, 0.185) (multiplicity 4)
Nd (0.000, 0.286, 0.000) (multiplicity 4)
Ho (0.000, 0.000, 0.500) (multiplicity 2)
Ho (0.000, 0.307, 0.309) (multiplicity 8)
Pu (0.000, 0.500, 0.500) (multiplicity 2)

Density, g/cm3: 8.1
Formation enthalpy at 0 K, eV/atom: 0.25
DOS(E_F), states/eV per atom: 1.86
Crystal system: orthorhombic
Energy, eV for the cell shown: -107.5

No. 12
Material: Pm3Sm2Sb3
Method: DFT, PBE
State: relaxed

abc: 9.2383 9.2383 6.4678
angles: 90.00 90.00 120.00
Space group P6_3/mcm (No. 193)
One atom of each set of equivalent atoms:
Pm (0.0000, 0.2489, 0.2500) (multiplicity 6)
Sm (0.3333, 0.6667, 0.0000) (multiplicity 4)
Sb (0.0000, 0.3881, 0.7500) (multiplicity 6)

Density, g/cm3: 7.6
Formation energy without anion corrections, kJ per mole of atoms: -94
DOS(E_F), states/eV per atom: 1.10
Crystal system: hexagonal
Energy, eV for the cell shown: -87.6